# Zr3Rh

An optimized crystal structure of Zr3Rh (PBE, Alexandria).

a b c (Å): 8.145 8.145 8.145
angles (deg): 97.09 97.09 138.87
Fractional coordinates of all 16 atoms:
Zr1 0.000 0.355 0.355
Zr2 0.000 0.645 0.645
Zr3 0.043 0.043 0.590
Zr4 0.138 0.329 0.000
Zr5 0.329 0.138 0.000
Zr6 0.355 0.000 0.355
Zr7 0.454 0.454 0.410
Zr8 0.546 0.957 0.000
Zr9 0.645 0.000 0.645
Zr10 0.671 0.671 0.809
Zr11 0.862 0.862 0.191
Zr12 0.957 0.546 0.000
Rh1 0.207 0.500 0.707
Rh2 0.500 0.207 0.707
Rh3 0.500 0.793 0.293
Rh4 0.793 0.500 0.293

Properties
Energy   -138.7 eV for the cell shown
Energy of formation   -0.42 eV per atom


# Zr3Rh

An optimized crystal structure of Zr3Rh (PBE, Alexandria).

a b c (Å): 3.201 4.616 5.710
angles (deg): 90.00 105.55 90.00
Fractional coordinates of all 4 atoms:
Zr1 0.000 0.000 0.000
Zr2 0.294 0.500 0.736
Zr3 0.706 0.500 0.264
Rh1 0.500 0.000 0.500

Properties
Energy   -34.1 eV for the cell shown
Energy of formation   -0.27 eV per atom


# Zr2Rh3

An optimized crystal structure of Zr2Rh3 (PBE, Alexandria).

a b c (Å): 8.765 8.765 8.765
angles (deg): 23.48 23.48 23.48
Fractional coordinates of all 5 atoms:
Zr1 0.095 0.095 0.095
Zr2 0.905 0.905 0.905
Rh1 0.301 0.301 0.301
Rh2 0.500 0.500 0.500
Rh3 0.699 0.699 0.699

Properties
Energy   -40.6 eV for the cell shown
Energy of formation   -0.29 eV per atom
Relative energy among the computed polymorphs   0.424 eV per atom


# Zr3Rh

An optimized crystal structure of Zr3Rh (PBE, Alexandria).

a b c (Å): 3.331 3.331 7.371
angles (deg): 90.00 90.00 90.00
Fractional coordinates of all 4 atoms:
Zr1 0.000 0.000 0.000
Zr2 0.500 0.500 0.281
Zr3 0.500 0.500 0.719
Rh1 0.000 0.000 0.500

Properties
Energy   -34.6 eV for the cell shown
Energy of formation   -0.41 eV per atom


# Zr3Rh

An optimized crystal structure of Zr3Rh (PBE, Alexandria).

a b c (Å): 6.172 9.380 5.855
angles (deg): 90.00 90.00 90.00
Fractional coordinates of all 16 atoms:
Zr1 0.036 0.250 0.169
Zr2 0.210 0.051 0.626
Zr3 0.210 0.449 0.626
Zr4 0.290 0.551 0.126
Zr5 0.290 0.949 0.126
Zr6 0.464 0.750 0.669
Zr7 0.536 0.250 0.331
Zr8 0.710 0.051 0.874
Zr9 0.710 0.449 0.874
Zr10 0.790 0.551 0.374
Zr11 0.790 0.949 0.374
Zr12 0.964 0.750 0.831
Rh1 0.111 0.750 0.383
Rh2 0.389 0.250 0.883
Rh3 0.611 0.750 0.117
Rh4 0.889 0.250 0.617

Properties
Energy   -138.2 eV for the cell shown
Energy of formation   -0.39 eV per atom


# Zr4Rh

An optimized crystal structure of Zr4Rh (PBE, Alexandria).

a b c (Å): 5.019 5.019 5.019
angles (deg): 90.00 90.00 90.00
Fractional coordinates of all 5 atoms:
Zr1 0.000 0.000 0.000
Zr2 0.000 0.500 0.500
Zr3 0.500 0.000 0.500
Zr4 0.500 0.500 0.000
Rh1 0.500 0.500 0.500

Properties
Energy   -40.3 eV for the cell shown
Energy of formation   0.26 eV per atom
Relative energy among the computed polymorphs   0.585 eV per atom


# Zr3Rh8

An optimized crystal structure of Zr3Rh8 (PBE, Alexandria).

a b c (Å): 4.834 5.622 7.429
angles (deg): 94.73 108.69 91.46
Fractional coordinates of all 11 atoms:
Zr1 0.000 0.000 0.000
Zr2 0.000 0.000 0.500
Zr3 0.500 0.500 0.000
Rh1 0.087 0.425 0.199
Rh2 0.282 0.510 0.579
Rh3 0.373 0.836 0.346
Rh4 0.405 0.888 0.825
Rh5 0.595 0.112 0.175
Rh6 0.627 0.164 0.654
Rh7 0.718 0.490 0.421
Rh8 0.913 0.575 0.801

Properties
Energy   -88.0 eV for the cell shown
Energy of formation   -0.32 eV per atom


# ZrRh5

An optimized crystal structure of ZrRh5 (PBE, Alexandria).

a b c (Å): 2.815 2.815 11.586
angles (deg): 90.00 90.00 90.00
Fractional coordinates of all 6 atoms:
Zr1 0.000 0.000 0.000
Rh1 0.000 0.000 0.340
Rh2 0.000 0.000 0.660
Rh3 0.500 0.500 0.178
Rh4 0.500 0.500 0.500
Rh5 0.500 0.500 0.822

Properties
Energy   -46.1 eV for the cell shown
Energy of formation   -0.13 eV per atom


Please write out number 1 again, unchanged.
# Zr3Rh

An optimized crystal structure of Zr3Rh (PBE, Alexandria).

a b c (Å): 8.145 8.145 8.145
angles (deg): 97.09 97.09 138.87
Fractional coordinates of all 16 atoms:
Zr1 0.000 0.355 0.355
Zr2 0.000 0.645 0.645
Zr3 0.043 0.043 0.590
Zr4 0.138 0.329 0.000
Zr5 0.329 0.138 0.000
Zr6 0.355 0.000 0.355
Zr7 0.454 0.454 0.410
Zr8 0.546 0.957 0.000
Zr9 0.645 0.000 0.645
Zr10 0.671 0.671 0.809
Zr11 0.862 0.862 0.191
Zr12 0.957 0.546 0.000
Rh1 0.207 0.500 0.707
Rh2 0.500 0.207 0.707
Rh3 0.500 0.793 0.293
Rh4 0.793 0.500 0.293

Properties
Energy   -138.7 eV for the cell shown
Energy of formation   -0.42 eV per atom


> Which formula does entry 4 have?

Zr3Rh


Repeat the second record exactly.
# Zr3Rh

An optimized crystal structure of Zr3Rh (PBE, Alexandria).

a b c (Å): 3.201 4.616 5.710
angles (deg): 90.00 105.55 90.00
Fractional coordinates of all 4 atoms:
Zr1 0.000 0.000 0.000
Zr2 0.294 0.500 0.736
Zr3 0.706 0.500 0.264
Rh1 0.500 0.000 0.500

Properties
Energy   -34.1 eV for the cell shown
Energy of formation   -0.27 eV per atom